VASP calculation (GGA-PBE) on a relaxed structure of Fe3B.

Lattice parameters (Å, degrees): 4.707 4.707 4.393 90.00 90.00 120.00
Last column: magnetic moment on the atom in μB.
Sites, in units of the cell vectors:
Fe 0.000 0.305 0.000  2.00
Fe 0.695 0.695 0.000  2.07
Fe 0.305 0.305 0.500  2.08
Fe 0.000 0.695 0.500  2.04
Fe 0.305 0.000 0.000  2.08
Fe 0.695 0.000 0.500  2.04
B 0.667 0.333 0.250  -0.17
B 0.333 0.667 0.750  -0.17

Results
Its energy is -63.0 eV per cell. As for the space group: P6_322 (182).